a | # MoRh2W (SCAN, single point on PBEsol structure)
# D(E_F)   6.5 states/eV/f.u.
# Total magnetization   0.00 Bohr magnetons per cell
data_MoRh2W
_cell_length_a 6.1789
_cell_length_b 6.1789
_cell_length_c 6.1789
_cell_angle_alpha 90.00
_cell_angle_beta 90.00
_cell_angle_gamma 90.00
_symmetry_space_group_name_H-M 'F m -3 m'
_symmetry_Int_Tables_number 225
_symmetry_space_group_name_Hall '-F 4 2 3'
loop_
_atom_site_label
_atom_site_fract_x
_atom_site_fract_y
_atom_site_fract_z
Mo1 0.0000 0.0000 0.0000
Rh1 0.2500 0.2500 0.2500
W1 0.0000 0.0000 0.5000

---

b | # MoRh2W (SCAN, single point on PBEsol structure)
# D(E_F)   2.3 states/eV/f.u.
# Total magnetization   0.00 Bohr magnetons per cell
data_MoRh2W
_cell_length_a 2.7167
_cell_length_b 3.8738
_cell_length_c 5.4438
_cell_angle_alpha 90.00
_cell_angle_beta 90.00
_cell_angle_gamma 90.00
_symmetry_space_group_name_H-M 'P m m m'
_symmetry_Int_Tables_number 47
loop_
_symmetry_equiv_pos_as_xyz
'x,y,z'
'-x,-y,-z'
'-x,-y,z'
'x,y,-z'
'x,-y,-z'
'-x,y,z'
'-x,y,-z'
'x,-y,z'
loop_
_atom_site_label
_atom_site_fract_x
_atom_site_fract_y
_atom_site_fract_z
Mo1 0.0000 0.0000 0.0000
Rh1 0.5000 0.5000 0.2495
W1 0.0000 0.0000 0.5000

---

Energy comparison, zero being the most stable, in meV/atom: a 608; b 0.

---

a | # MoRh2W (SCAN, single point on PBEsol structure)
# D(E_F)   2.8 states/eV/f.u.
# Total magnetization   0.00 Bohr magnetons per cell
data_MoRh2W
_cell_length_a 2.7247
_cell_length_b 4.3996
_cell_length_c 4.7760
_cell_angle_alpha 90.00
_cell_angle_beta 90.00
_cell_angle_gamma 90.00
_symmetry_space_group_name_H-M 'P m m 2'
_symmetry_Int_Tables_number 25
loop_
_symmetry_equiv_pos_as_xyz
'x,y,z'
'-x,-y,z'
'-x,y,z'
'x,-y,z'
loop_
_atom_site_label
_atom_site_fract_x
_atom_site_fract_y
_atom_site_fract_z
Mo1 0.0000 0.0000 0.0000
Rh1 0.5000 0.0000 0.5000
Rh2 0.5000 0.5000 0.8476
W1 0.0000 0.5000 0.3448

---

b | # MoRh2W (SCAN, single point on PBEsol structure)
# D(E_F)   1.9 states/eV/f.u.
# Total magnetization   0.00 Bohr magnetons per cell
data_MoRh2W
_cell_length_a 5.4366
_cell_length_b 7.7488
_cell_length_c 2.7200
_cell_angle_alpha 90.00
_cell_angle_beta 90.00
_cell_angle_gamma 90.00
_symmetry_space_group_name_H-M 'C m m m'
_symmetry_Int_Tables_number 65
_symmetry_space_group_name_Hall '-C 2 2'
loop_
_atom_site_label
_atom_site_fract_x
_atom_site_fract_y
_atom_site_fract_z
Mo1 0.0000 0.0000 0.0000
Rh1 0.2500 0.2500 0.5000
W1 0.0000 0.5000 0.0000

---

Energy comparison, zero being the most stable, in meV/atom: a 6; b 0.

---

a | # ZrMo2Rh (SCAN, single point on PBEsol structure)
# D(E_F)   2.3 states/eV/f.u.
# Total magnetization   0.00 Bohr magnetons per cell
data_ZrMo2Rh
_cell_length_a 9.3905
_cell_length_b 2.7647
_cell_length_c 5.0779
_cell_angle_alpha 90.00
_cell_angle_beta 98.90
_cell_angle_gamma 90.00
_symmetry_space_group_name_H-M 'C 1 m 1'
_symmetry_Int_Tables_number 8
loop_
_symmetry_equiv_pos_as_xyz
'x,y,z'
'x,-y,z'
'x+1/2,y+1/2,z'
'x+1/2,-y+1/2,z'
loop_
_atom_site_label
_atom_site_fract_x
_atom_site_fract_y
_atom_site_fract_z
Zr1 0.0000 0.0000 0.0000
Mo1 0.2196 0.0000 0.6741
Mo2 0.4577 0.0000 0.4888
Rh1 0.2470 0.5000 0.1815

---

b | # ZrMo2Rh (SCAN, single point on PBEsol structure)
# D(E_F)   3.1 states/eV/f.u.
# Total magnetization   0.00 Bohr magnetons per cell
data_ZrMo2Rh
_cell_length_a 2.7353
_cell_length_b 2.7353
_cell_length_c 8.6386
_cell_angle_alpha 90.00
_cell_angle_beta 90.00
_cell_angle_gamma 90.00
_symmetry_space_group_name_H-M 'P 4/m m m'
_symmetry_Int_Tables_number 123
_symmetry_space_group_name_Hall '-P 4 2'
loop_
_atom_site_label
_atom_site_fract_x
_atom_site_fract_y
_atom_site_fract_z
Zr1 0.0000 0.0000 0.0000
Mo1 0.5000 0.5000 0.2788
Rh1 0.0000 0.0000 0.5000

---

c | # ZrMo2Rh (SCAN, single point on PBEsol structure)
# D(E_F)   3.8 states/eV/f.u.
# Total magnetization   0.00 Bohr magnetons per cell
data_ZrMo2Rh
_cell_length_a 3.2654
_cell_length_b 4.5206
_cell_length_c 8.6939
_cell_angle_alpha 90.00
_cell_angle_beta 90.00
_cell_angle_gamma 90.00
_symmetry_space_group_name_H-M 'C m m 2'
_symmetry_Int_Tables_number 35
loop_
_symmetry_equiv_pos_as_xyz
'x,y,z'
'-x,-y,z'
'-x,y,z'
'x,-y,z'
'x+1/2,y+1/2,z'
'-x+1/2,-y+1/2,z'
'-x+1/2,y+1/2,z'
'x+1/2,-y+1/2,z'
loop_
_atom_site_label
_atom_site_fract_x
_atom_site_fract_y
_atom_site_fract_z
Zr1 0.0000 0.0000 0.0000
Mo1 0.0000 0.0000 0.5116
Mo2 0.0000 0.5000 0.2721
Rh1 0.0000 0.5000 0.7452

---

d | # ZrMo2Rh (SCAN, single point on PBEsol structure)
# D(E_F)   3.4 states/eV/f.u.
# Total magnetization   0.00 Bohr magnetons per cell
data_ZrMo2Rh
_cell_length_a 2.7896
_cell_length_b 4.3728
_cell_length_c 5.3417
_cell_angle_alpha 90.00
_cell_angle_beta 99.99
_cell_angle_gamma 90.00
_symmetry_space_group_name_H-M 'P 1 m 1'
_symmetry_Int_Tables_number 6
loop_
_symmetry_equiv_pos_as_xyz
'x,y,z'
'x,-y,z'
loop_
_atom_site_label
_atom_site_fract_x
_atom_site_fract_y
_atom_site_fract_z
Zr1 0.0000 0.0000 0.0000
Mo1 0.5380 0.0000 0.4903
Mo2 0.7528 0.5000 0.2775
Rh1 0.2787 0.5000 0.7584

---

Energy comparison, zero being the most stable, in meV/atom: a 127; b 150; c 54; d 0.

---

a | # Sc2MoRu (SCAN, single point on PBEsol structure)
# D(E_F)   5.0 states/eV/f.u.
# Total magnetization   0.00 Bohr magnetons per cell
data_Sc2MoRu
_cell_length_a 4.6141
_cell_length_b 4.6141
_cell_length_c 3.1261
_cell_angle_alpha 90.00
_cell_angle_beta 90.00
_cell_angle_gamma 90.00
_symmetry_space_group_name_H-M 'P 4/m m m'
_symmetry_Int_Tables_number 123
_symmetry_space_group_name_Hall '-P 4 2'
loop_
_atom_site_label
_atom_site_fract_x
_atom_site_fract_y
_atom_site_fract_z
Sc1 0.0000 0.5000 0.0000
Mo1 0.0000 0.0000 0.5000
Ru1 0.5000 0.5000 0.5000

---

b | # Sc2MoRu (SCAN, single point on PBEsol structure)
# D(E_F)   3.3 states/eV/f.u.
# Total magnetization   0.00 Bohr magnetons per cell
data_Sc2MoRu
_cell_length_a 5.7438
_cell_length_b 8.5750
_cell_length_c 2.9210
_cell_angle_alpha 90.00
_cell_angle_beta 112.70
_cell_angle_gamma 90.00
_symmetry_space_group_name_H-M 'C 1 2/m 1'
_symmetry_Int_Tables_number 12
loop_
_symmetry_equiv_pos_as_xyz
'x,y,z'
'-x,-y,-z'
'-x,y,-z'
'x,-y,z'
'x+1/2,y+1/2,z'
'-x+1/2,-y+1/2,-z'
'-x+1/2,y+1/2,-z'
'x+1/2,-y+1/2,z'
loop_
_atom_site_label
_atom_site_fract_x
_atom_site_fract_y
_atom_site_fract_z
Sc1 0.2500 0.2500 0.0000
Mo1 0.0000 0.0000 0.5000
Ru1 0.0000 0.5000 0.5000

---

c | # Sc2MoRu (SCAN, single point on PBEsol structure)
# D(E_F)   3.9 states/eV/f.u.
# Total magnetization   0.00 Bohr magnetons per cell
data_Sc2MoRu
_cell_length_a 3.1580
_cell_length_b 4.5710
_cell_length_c 9.4769
_cell_angle_alpha 90.00
_cell_angle_beta 90.00
_cell_angle_gamma 90.00
_symmetry_space_group_name_H-M 'I m m 2'
_symmetry_Int_Tables_number 44
loop_
_symmetry_equiv_pos_as_xyz
'x,y,z'
'-x,-y,z'
'-x,y,z'
'x,-y,z'
'x+1/2,y+1/2,z+1/2'
'-x+1/2,-y+1/2,z+1/2'
'-x+1/2,y+1/2,z+1/2'
'x+1/2,-y+1/2,z+1/2'
loop_
_atom_site_label
_atom_site_fract_x
_atom_site_fract_y
_atom_site_fract_z
Sc1 0.0000 0.0000 0.0000
Sc2 0.0000 0.5000 0.2226
Mo1 0.0000 0.5000 0.7634
Ru1 0.0000 0.0000 0.4776

---

Energy comparison, zero being the most stable, in meV/atom: a 170; b 194; c 0.